First-principles (GGA-PBE) data for a relaxed V2Ni7Ge2Rh crystal, as listed in the Alexandria database.

## Properties
Electronic total energy in eV per cell: -76.30
Mass density in g/cm³: 8.5
Calculated volume in Å³/f.u.: 149
Magnetization in μB per formula unit: 1.42
Formation enthalpy at 0 K in eV per atom: -0.084

a b c (Å): 3.6034 3.6034 11.5080
angles (deg): 90.00 90.00 90.04
Sites, in units of the cell vectors:
V (0.0000, 0.0000, 0.1765)
V (0.0000, 0.0000, 0.8235)
Ni (0.0000, 0.0000, 0.5000)
Ni (0.0000, 0.5000, 0.3396)
Ni (0.0000, 0.5000, 0.6604)
Ni (0.2524, 0.2524, 0.0000)
Ni (0.5000, 0.0000, 0.3396)
Ni (0.5000, 0.0000, 0.6604)
Ni (0.7476, 0.7476, 0.0000)
Ge (0.5000, 0.5000, 0.1907)
Ge (0.5000, 0.5000, 0.8093)
Rh (0.5000, 0.5000, 0.5000)